P) The following is a PBE calculation of crystalline GdAuSO at its relaxed geometry, from OQMD via LeMat-Bulk.

a = 7.2409 Å, b = 6.3515 Å, c = 6.1990 Å
α = 90.00°, β = 90.00°, γ = 90.00°
Last column: nearest neighbours and their distance in Å.
Fractional coordinates of all 16 atoms:
Gd 0.0980 0.1441 0.0000  3 O 2.26-2.33
Gd 0.4020 0.1441 0.5000  3 O 2.26-2.33
Gd 0.5980 0.8559 0.0000  3 O 2.26-2.33
Gd 0.9020 0.8559 0.5000  3 O 2.26-2.33
Au 0.1837 0.6746 0.1230  1 O 2.32, 2 S 2.47-2.55
Au 0.3163 0.6746 0.6230  1 O 2.32, 2 S 2.47-2.55
Au 0.6837 0.3254 0.1230  1 O 2.32, 2 S 2.47-2.55
Au 0.8163 0.3254 0.6230  1 O 2.32, 2 S 2.47-2.55
S 0.0931 0.3965 0.4014  3 Au 2.47-2.76
S 0.4069 0.3965 0.9014  3 Au 2.47-2.76
S 0.5931 0.6035 0.4014  3 Au 2.47-2.76
S 0.9069 0.6035 0.9014  3 Au 2.47-2.76
O 0.1622 0.9908 0.6713  3 Gd 2.26-2.33, 1 Au 2.32
O 0.3378 0.9908 0.1713  3 Gd 2.26-2.33, 1 Au 2.32
O 0.6622 0.0092 0.6713  3 Gd 2.26-2.33, 1 Au 2.32
O 0.8378 0.0092 0.1713  3 Gd 2.26-2.33, 1 Au 2.32

Results
Its space-group type is Pca2_1. As for the total magnetic moment: 0.0 μB/f.u.

***

Q) The following is a PBE calculation of crystalline GdAuSO at its relaxed geometry, from OQMD via LeMat-Bulk.

a = 5.6367 Å, b = 9.0870 Å, c = 5.6520 Å
α = 90.00°, β = 90.00°, γ = 90.00°
Last column: nearest neighbours and their distance in Å.
Fractional coordinates of all 16 atoms:
Gd 0.0000 0.1235 0.2500  4 O 2.29
Gd 0.0000 0.8765 0.7500  4 O 2.29
Gd 0.5000 0.1235 0.7500  4 O 2.29
Gd 0.5000 0.8765 0.2500  4 O 2.29
Au 0.2500 0.5000 0.2437  2 S 2.41
Au 0.2500 0.5000 0.7437  2 S 2.41
Au 0.7500 0.5000 0.2563  2 S 2.41
Au 0.7500 0.5000 0.7563  2 S 2.41
S 0.0000 0.2844 0.7500  2 Au 2.41
S 0.0000 0.7156 0.2500  2 Au 2.41
S 0.5000 0.2844 0.2500  2 Au 2.41
S 0.5000 0.7156 0.7500  2 Au 2.41
O 0.2500 0.0000 0.0000  4 Gd 2.29
O 0.2500 0.0000 0.5000  4 Gd 2.29
O 0.7500 0.0000 0.0000  4 Gd 2.29
O 0.7500 0.0000 0.5000  4 Gd 2.29

Results
Its space-group type is Pcca. As for the total magnetic moment: 0.0 μB/f.u.

***

R) The following is a PBE calculation of crystalline GdAuSO at its relaxed geometry, from OQMD via LeMat-Bulk.

a = 3.9239 Å, b = 3.9239 Å, c = 9.0740 Å
α = 90.00°, β = 90.00°, γ = 90.00°
Last column: nearest neighbours and their distance in Å.
Fractional coordinates of all 8 atoms:
Gd 0.0000 0.0000 0.0000  4 O 2.28
Gd 0.5000 0.5000 0.2538  4 O 2.27
Au 0.0000 0.5000 0.6278  4 S 2.75-2.76, 4 Au 2.77
Au 0.5000 0.0000 0.6278  4 S 2.75-2.76, 4 Au 2.77
S 0.0000 0.0000 0.4140  4 Au 2.76
S 0.5000 0.5000 0.8409  4 Au 2.75
O 0.0000 0.5000 0.1270  4 Gd 2.27-2.28
O 0.5000 0.0000 0.1270  4 Gd 2.27-2.28

Results
Its space-group type is P4mm. As for the total magnetic moment: 0.0 μB/f.u.

***

S) The following is a PBE calculation of crystalline GdAuSO at its relaxed geometry, from OQMD via LeMat-Bulk.

a = 5.6961 Å, b = 5.6899 Å, c = 10.8328 Å
α = 90.00°, β = 91.88°, γ = 90.00°
Last column: nearest neighbours and their distance in Å.
Fractional coordinates of all 16 atoms:
Gd 0.0055 0.0000 0.1008  4 O 2.28-2.30
Gd 0.4942 0.0000 0.8994  4 O 2.28-2.30
Gd 0.5058 0.5000 0.1006  4 O 2.28-2.30
Gd 0.9945 0.5000 0.8992  4 O 2.28-2.30
Au 0.1879 0.2741 0.4969  2 S 2.31-2.32
Au 0.4979 0.0207 0.2810  2 S 2.33-2.34
Au 0.5021 0.5207 0.7190  2 S 2.33-2.34
Au 0.8121 0.7741 0.5031  2 S 2.31-2.32
S 0.2038 0.3084 0.2845  2 Au 2.31-2.34
S 0.2097 0.2343 0.7096  2 Au 2.32-2.33
S 0.7903 0.7343 0.2904  2 Au 2.32-2.33
S 0.7962 0.8084 0.7155  2 Au 2.31-2.34
O 0.2485 0.7492 0.0002  4 Gd 2.28-2.30
O 0.2513 0.2489 0.9987  4 Gd 2.28-2.30
O 0.7487 0.7489 0.0013  4 Gd 2.28-2.30
O 0.7515 0.2492 0.9998  4 Gd 2.28-2.30

Results
Its space-group type is P2_1. As for the total magnetic moment: 0.0 μB/f.u.

***

Stability verdict: S), ahead by 24 meV/atom

***

P) The following is a PBE calculation of crystalline GdAuSO at its relaxed geometry, from OQMD via LeMat-Bulk.

a = 9.0656 Å, b = 3.9898 Å, c = 3.9898 Å
α = 89.90°, β = 90.00°, γ = 90.00°
Last column: nearest neighbours and their distance in Å.
Fractional coordinates of all 8 atoms:
Gd 0.1240 0.2500 0.7500  4 O 2.29
Gd 0.8760 0.7500 0.2500  4 O 2.29
Au 0.5000 0.0010 0.0010  2 S 2.41
Au 0.5000 0.5010 0.5010  2 S 2.41
S 0.2842 0.7509 0.2509  2 Au 2.41
S 0.7158 0.2509 0.7509  2 Au 2.41
O 0.0000 0.2501 0.2501  4 Gd 2.29
O 0.0000 0.7501 0.7501  4 Gd 2.29

Results
Its space-group type is Aem2. As for the total magnetic moment: 0.0 μB/f.u.

***

Q) The following is a PBE calculation of crystalline GdAuSO at its relaxed geometry, from OQMD via LeMat-Bulk.

a = 3.9413 Å, b = 3.9413 Å, c = 8.9336 Å
α = 90.00°, β = 90.00°, γ = 90.00°
Last column: nearest neighbours and their distance in Å.
Fractional coordinates of all 8 atoms:
Gd 0.2500 0.2500 0.1282  4 O 2.28
Gd 0.7500 0.7500 0.8718  4 O 2.28
Au 0.2500 0.7500 0.5000  4 S 2.75, 4 Au 2.79
Au 0.7500 0.2500 0.5000  4 S 2.75, 4 Au 2.79
S 0.2500 0.2500 0.7139  4 Au 2.75
S 0.7500 0.7500 0.2861  4 Au 2.75
O 0.2500 0.7500 0.0000  4 Gd 2.28
O 0.7500 0.2500 0.0000  4 Gd 2.28

Results
Its space-group type is P4/nmm. As for the total magnetic moment: 0.0 μB/f.u.

***

Stability verdict: P), ahead by 131 meV/atom

***

P) The following is a PBE calculation of crystalline GdPbAuS3 at its relaxed geometry, from OQMD via LeMat-Bulk.

a = 6.9302 Å, b = 6.9302 Å, c = 10.4348 Å
α = 90.00°, β = 90.00°, γ = 146.36°
Last column: nearest neighbours and their distance in Å.
Fractional coordinates of all 12 atoms:
Gd 0.0000 0.0000 0.0000  6 S 2.80-2.87
Gd 0.0000 0.0000 0.5000  6 S 2.80-2.87
Pb 0.2420 0.7580 0.7500  6 S 2.99-3.16
Pb 0.7580 0.2420 0.2500  6 S 2.99-3.16
Au 0.4646 0.5354 0.2500  4 S 2.48-2.61
Au 0.5354 0.4646 0.7500  4 S 2.48-2.61
S 0.0903 0.9097 0.2500  2 Au 2.61, 2 Gd 2.87
S 0.3588 0.6412 0.0546  1 Au 2.48
S 0.3588 0.6412 0.4454  1 Au 2.48
S 0.6412 0.3588 0.5546  1 Au 2.48
S 0.6412 0.3588 0.9454  1 Au 2.48
S 0.9097 0.0903 0.7500  2 Au 2.61, 2 Gd 2.87

Results
Its space-group type is Cmcm. As for the total magnetic moment: 0.0 μB/f.u.

***

Q) The following is a PBE calculation of crystalline GdPbAuS3 at its relaxed geometry, from OQMD via LeMat-Bulk.

a = 7.7069 Å, b = 4.0222 Å, c = 9.7959 Å
α = 90.00°, β = 107.25°, γ = 90.00°
Last column: nearest neighbours and their distance in Å.
Fractional coordinates of all 12 atoms:
Gd 0.1879 0.2500 0.1659  6 S 2.76-2.86
Gd 0.8121 0.7500 0.8341  6 S 2.76-2.86
Pb 0.2393 0.7500 0.7098  7 S 3.05-3.16, 1 Au 3.24
Pb 0.7607 0.2500 0.2902  7 S 3.05-3.16, 1 Au 3.24
Au 0.3641 0.7500 0.4223  3 S 2.53-2.54
Au 0.6359 0.2500 0.5777  3 S 2.53-2.54
S 0.0773 0.2500 0.8714  3 Gd 2.76-2.81, 2 Pb 3.05
S 0.1801 0.2500 0.4555  2 Au 2.54
S 0.4429 0.7500 0.1896  1 Au 2.53, 2 Gd 2.77
S 0.5571 0.2500 0.8104  1 Au 2.53, 2 Gd 2.77
S 0.8199 0.7500 0.5445  2 Au 2.54
S 0.9227 0.7500 0.1286  3 Gd 2.76-2.81, 2 Pb 3.05

Results
Its space-group type is P2_1/m. As for the total magnetic moment: 0.0 μB/f.u.

***

Stability verdict: Q), ahead by 5 meV/atom